Here is a relaxed structure of DyPdPt4 from Alexandria. Energies are from PBE-GGA.

The electronic total energy comes out at -152.51 eV for the cell shown. As for the size of the total moment: 0.0 μB per formula unit. The crystal system is cubic.

The space group is F-43m (No. 216) and the conventional cell measures 7.530, 7.530 and 7.530 Å, with angles of 90.00, 90.00 and 90.00 degrees. The inequivalent atoms are Dy at (0.000, 0.000, 0.000), Pd at (0.250, 0.250, 0.750) and Pt at (0.125, 0.125, 0.375).